Here is an optimized crystal structure of Pa4Si5B2 from Alexandria via LeMat-Bulk. Energies are from PBE.

* mass density: 9519 kg/m³
* N(E_F): 0.915 states/eV per atom
* space-group type: No. 10
* raw formation energy: -511 meV per atom

Lattice parameters (Å, degrees): 6.1561 4.3012 7.1563 90.00 90.23 90.00
With the nearest neighbours (Å) after each atom.
Positions (direct):
Pa  0.2310  0.0000  0.1309  8 Si 2.87-3.02, 2 B 3.02
Pa  0.2444  0.0000  0.6121  4 B 2.87-2.89, 6 Si 2.90-3.03
Pa  0.7556  0.0000  0.3879  4 B 2.87-2.89, 6 Si 2.90-3.03
Pa  0.7690  0.0000  0.8691  8 Si 2.87-3.02, 2 B 3.02
Si  0.1133  0.5000  0.8598  1 B 2.13
Si  0.4109  0.5000  0.3524  1 B 2.12
Si  0.5000  0.5000  0.0000  4 Si 2.58, 4 Pa 2.87
Si  0.5891  0.5000  0.6476  1 B 2.12
Si  0.8867  0.5000  0.1402  1 B 2.13
B  0.0698  0.5000  0.3931  1 B 1.76
B  0.9302  0.5000  0.6069  1 B 1.76

---

Here is an optimized crystal structure of TbNd2H8 from Alexandria via LeMat-Bulk. Energies are from PBE.

* mass density: 6630 kg/m³
* total energy: -4.318 eV per atom
* N(E_F): 0.141 states/eV per atom
* space-group type: No. 71

Lattice parameters (Å, degrees): 6.5509 6.5509 6.5509 146.28 132.47 59.54
With the nearest neighbours (Å) after each atom.
Positions (direct):
Tb  0.0000  0.0000  0.0000  8 H 2.23-2.33
Nd  0.3315  0.3315  0.0000  8 H 2.30-2.41
Nd  0.6685  0.6685  0.0000  8 H 2.30-2.41
H  0.0997  0.8443  0.2554  1 Tb 2.23, 3 Nd 2.30-2.41, 3 H 2.33-2.43
H  0.1635  0.6635  0.5000  8 H 2.30-2.43
H  0.2557  0.5000  0.7557  2 H 2.30, 2 Nd 2.31, 2 Tb 2.33
H  0.4111  0.1557  0.2554  1 Tb 2.23, 3 Nd 2.30-2.41, 3 H 2.33-2.43
H  0.5889  0.8443  0.7446  1 Tb 2.23, 3 Nd 2.30-2.41, 3 H 2.33-2.43
H  0.7443  0.5000  0.2443  2 H 2.30, 2 Nd 2.31, 2 Tb 2.33
H  0.8365  0.3365  0.5000  8 H 2.30-2.43
H  0.9003  0.1557  0.7446  1 Tb 2.23, 3 Nd 2.30-2.41, 3 H 2.33-2.43

---

What is the N(E_F) in the second record? 0.141 states/eV per atom

---

Among the records above, which one has the lowest mass density? TbNd2H8